Record 1
Material: BaLaTl
Method: DFT, PBE
State: relaxed

Unit cell a=6.3776 b=7.9676 c=6.3771 alpha=71.57 beta=129.35 gamma=108.43
Fractional coordinates of all 6 atoms:
1 Ba 0.8509 0.6675 0.7146
2 Ba 0.2130 0.9273 0.3524
3 Tl 0.1646 0.4385 0.4008
4 Tl 0.8992 0.1563 0.6661
5 La 0.4664 0.4382 0.0988
6 La 0.5972 0.1565 0.9679

Computed properties:
**Relative energy among the computed polymorphs**: 0.087 eV per atom
**Symmetry**: C2/m (12)
**Crystal system**: monoclinic

Record 2
Material: BaLa4Tl
Method: DFT, PBE
State: relaxed

Unit cell a=6.8560 b=6.8560 c=6.8560 alpha=60.00 beta=60.00 gamma=60.00
Fractional coordinates of all 6 atoms:
1 Ba 0.0000 0.0000 0.0000
2 Tl 0.7500 0.7500 0.7500
3 La 0.8634 0.3789 0.3789
4 La 0.3789 0.3789 0.8634
5 La 0.3789 0.8634 0.3789
6 La 0.3789 0.3789 0.3789

Computed properties:
**Symmetry**: F-43m (216)
**Crystal system**: cubic

Record 3
Material: BaLaTl
Method: DFT, PBE
State: relaxed

Unit cell a=4.0705 b=14.1131 c=4.0705 alpha=90.00 beta=90.00 gamma=90.00
Fractional coordinates of all 6 atoms:
1 Tl 0.5403 0.0654 0.1208
2 La 0.0403 0.1912 0.6206
3 Ba 0.0402 0.8923 0.6209
4 Tl 0.5403 0.7216 0.1210
5 Ba 0.0403 0.5657 0.6209
6 La 0.5403 0.3482 0.1206

Computed properties:
**Relative energy among the computed polymorphs**: 0.070 eV per atom
**Symmetry**: P4mm (99)
**Crystal system**: tetragonal

no.,DFT formation energy (eV per atom),DOS(E_F) (states/eV per atom)
1,-0.211,0.33
2,0.174,1.63
3,-0.228,1.18